# Tm11Cd9Pd4 (PBE, relaxed)
# Total DFT energy (no corrections) ... -3.804 eV per atom
data_Tm11Cd9Pd4
_symmetry_space_group_name_H-M 'C m m m'
_symmetry_Int_Tables_number 65
_symmetry_space_group_name_Hall '-C 2 2'
_cell_length_a 14.488
_cell_length_b 21.821
_cell_length_c 3.588
_cell_angle_alpha 90.00
_cell_angle_beta 90.00
_cell_angle_gamma 90.00
loop_
_atom_site_label
_atom_site_fract_x
_atom_site_fract_y
_atom_site_fract_z
_atom_site_occupancy
Tm1 0.000 0.000 0.000 1
Tm2 0.000 0.161 0.000 1
Tm3 0.000 0.370 0.000 1
Tm4 0.197 0.500 0.000 1
Tm5 0.244 0.170 0.000 1
Cd1 0.000 0.500 0.500 1
Cd2 0.106 0.260 0.500 1
Cd3 0.142 0.073 0.500 1
Pd1 0.150 0.400 0.500 1


# Li12S5Cl3 (PBE, relaxed)
# ΔE_f (raw) ... -1.1940 eV/atom
data_Li12S5Cl3
_symmetry_space_group_name_H-M 'I a -3 d'
_symmetry_Int_Tables_number 230
_symmetry_space_group_name_Hall '-I 4bd 2c 3'
_cell_length_a 14.656
_cell_length_b 14.656
_cell_length_c 14.656
_cell_angle_alpha 90.00
_cell_angle_beta 90.00
_cell_angle_gamma 90.00
loop_
_atom_site_label
_atom_site_fract_x
_atom_site_fract_y
_atom_site_fract_z
_atom_site_occupancy
Li1 0.034 0.066 0.642 1
S1 0.000 0.000 0.000 1
S2 0.000 0.250 0.375 1
Cl1 0.000 0.250 0.125 1


# Pm2MgCu4Ge3 (PBE, relaxed)
# Total DFT energy (no corrections) ... -4.613 eV per atom
data_Pm2MgCu4Ge3
_symmetry_space_group_name_H-M 'P -4 m 2'
_symmetry_Int_Tables_number 115
_cell_length_a 4.161
_cell_length_b 4.161
_cell_length_c 10.439
_cell_angle_alpha 90.00
_cell_angle_beta 90.00
_cell_angle_gamma 90.00
loop_
_symmetry_equiv_pos_as_xyz
'x,y,z'
'y,-x,-z'
'-x,-y,z'
'-y,x,-z'
'-x,y,z'
'-y,-x,-z'
'x,-y,z'
'y,x,-z'
loop_
_atom_site_label
_atom_site_fract_x
_atom_site_fract_y
_atom_site_fract_z
_atom_site_occupancy
Pm1 0.000 0.500 0.233 1
Mg1 0.000 0.000 0.500 1
Cu1 0.000 0.000 0.000 1
Cu2 0.000 0.500 0.642 1
Cu3 0.500 0.500 0.000 1
Ge1 0.000 0.500 0.870 1
Ge2 0.500 0.500 0.500 1


# Er3Tl2Te6 (PBE, relaxed)
# ΔE_f (raw) ... -1.0386 eV/atom
data_Er3Tl2Te6
_symmetry_space_group_name_H-M 'C 1 2/m 1'
_symmetry_Int_Tables_number 12
_cell_length_a 7.542
_cell_length_b 13.056
_cell_length_c 8.554
_cell_angle_alpha 90.00
_cell_angle_beta 107.17
_cell_angle_gamma 90.00
loop_
_symmetry_equiv_pos_as_xyz
'x,y,z'
'-x,-y,-z'
'-x,y,-z'
'x,-y,z'
'x+1/2,y+1/2,z'
'-x+1/2,-y+1/2,-z'
'-x+1/2,y+1/2,-z'
'x+1/2,-y+1/2,z'
loop_
_atom_site_label
_atom_site_fract_x
_atom_site_fract_y
_atom_site_fract_z
_atom_site_occupancy
Er1 0.000 0.000 0.000 1
Er2 0.000 0.332 0.000 1
Tl1 0.000 0.166 0.500 1
Te1 0.237 0.500 0.212 1
Te2 0.239 0.166 0.215 1


# KPRh2 (PBE, relaxed)
# Total DFT energy (no corrections) ... -4.656 eV per atom
data_KPRh2
_symmetry_space_group_name_H-M 'I -4 m 2'
_symmetry_Int_Tables_number 119
_symmetry_space_group_name_Hall 'I -4 -2'
_cell_length_a 3.892
_cell_length_b 3.892
_cell_length_c 8.763
_cell_angle_alpha 90.00
_cell_angle_beta 90.00
_cell_angle_gamma 90.00
loop_
_atom_site_label
_atom_site_fract_x
_atom_site_fract_y
_atom_site_fract_z
_atom_site_occupancy
K1 0.000 0.000 0.000 1
P1 0.000 0.500 0.750 1
Rh1 0.000 0.000 0.500 1
Rh2 0.000 0.500 0.250 1


# SbOs (PBE, relaxed)
# ΔE_f (raw) ... 0.4843 eV/atom
data_SbOs
_symmetry_space_group_name_H-M 'C m c m'
_symmetry_Int_Tables_number 63
_symmetry_space_group_name_Hall '-C 2c 2'
_cell_length_a 3.971
_cell_length_b 10.487
_cell_length_c 3.736
_cell_angle_alpha 90.00
_cell_angle_beta 90.00
_cell_angle_gamma 90.00
loop_
_atom_site_label
_atom_site_fract_x
_atom_site_fract_y
_atom_site_fract_z
_atom_site_occupancy
Sb1 0.000 0.153 0.250 1
Os1 0.000 0.419 0.250 1


# BeRhPb (PBE, relaxed)
# Energy above the lowest structure with this stoichiometry ... 0.00 eV per formula unit
data_BeRhPb
_symmetry_space_group_name_H-M 'I 4 m m'
_symmetry_Int_Tables_number 107
_symmetry_space_group_name_Hall 'I 4 -2'
_cell_length_a 3.200
_cell_length_b 3.200
_cell_length_c 9.703
_cell_angle_alpha 90.00
_cell_angle_beta 90.00
_cell_angle_gamma 90.00
loop_
_atom_site_label
_atom_site_fract_x
_atom_site_fract_y
_atom_site_fract_z
_atom_site_occupancy
Be1 0.000 0.000 0.000 1
Rh1 0.000 0.000 0.433 1
Pb1 0.000 0.000 0.723 1


# HfBiAs2 (PBE, relaxed)
# Total DFT energy (no corrections) ... -5.809 eV per atom
data_HfBiAs2
_symmetry_space_group_name_H-M 'I -4 2 d'
_symmetry_Int_Tables_number 122
_symmetry_space_group_name_Hall 'I -4 2bw'
_cell_length_a 6.499
_cell_length_b 6.499
_cell_length_c 12.057
_cell_angle_alpha 90.00
_cell_angle_beta 90.00
_cell_angle_gamma 90.00
loop_
_atom_site_label
_atom_site_fract_x
_atom_site_fract_y
_atom_site_fract_z
_atom_site_occupancy
Hf1 0.000 0.000 0.000 1
Bi1 0.000 0.000 0.500 1
As1 0.209 0.250 0.125 1


Number 1: N(E_F) 39.23 states/eV per cell, M_tot 0.0 μB/f.u.. Number 2: N(E_F) 117.20 states/eV per cell, M_tot 1.2 μB/f.u.. Number 3: N(E_F) 3.95 states/eV per cell, M_tot 0.0 μB/f.u.. Number 4: N(E_F) 9.41 states/eV per cell, M_tot 0.0 μB/f.u.. Number 5: N(E_F) 8.73 states/eV per cell, M_tot 0.0 μB/f.u.. Number 6: N(E_F) 4.71 states/eV per cell, M_tot 0.0 μB/f.u.. Number 7: N(E_F) 2.35 states/eV per cell, M_tot 0.0 μB/f.u.. Number 8: N(E_F) 12.66 states/eV per cell, M_tot 0.0 μB/f.u..